Below is AcPmGaCu after structural relaxation, with properties calculated at the GGA-PBE level.

Results
The value obtained for the spin magnetization is 0.00 μB per cell. The formation enthalpy at 0 K comes out at -280 meV/atom. The space group is F-43m, No. 216. Its density of states at the Fermi level is 3.9 states/eV/cell.

```
AcPmGaCu
1.0
0.000 3.760 3.760
3.760 0.000 3.760
3.760 3.760 0.000
Ac Pm Ga Cu
1 1 1 1
Direct
0.000 0.000 0.000 Ac
0.500 0.500 0.500 Pm
0.250 0.250 0.250 Ga
0.750 0.750 0.750 Cu
```


Below is AcPrGaCu after structural relaxation, with properties calculated at the GGA-PBE level.

Results
The value obtained for the spin magnetization is 0.00 μB per cell. The formation enthalpy at 0 K comes out at -277 meV/atom. The space group is F-43m, No. 216. Its density of states at the Fermi level is 4.0 states/eV/cell.

```
AcPrGaCu
1.0
0.000 3.784 3.784
3.784 0.000 3.784
3.784 3.784 0.000
Ac Pr Ga Cu
1 1 1 1
Direct
0.000 0.000 0.000 Ac
0.500 0.500 0.500 Pr
0.750 0.750 0.750 Ga
0.250 0.250 0.250 Cu
```


Below is Ac2Ga3CuPt4 after structural relaxation, with properties calculated at the GGA-PBE level.

Results
The value obtained for the spin magnetization is 0.00 μB per cell. The formation enthalpy at 0 K comes out at -888 meV/atom. The space group is P-4m2, No. 115. Its density of states at the Fermi level is 4.8 states/eV/cell.

```
Ac2Ga3CuPt4
1.0
4.431 0.000 0.000
0.000 4.431 0.000
0.000 0.000 10.463
Ac Ga Cu Pt
2 3 1 4
Direct
0.000 0.500 0.246 Ac
0.500 0.000 0.754 Ac
0.000 0.000 0.000 Ga
0.000 0.500 0.623 Ga
0.500 0.000 0.377 Ga
0.500 0.500 0.000 Cu
0.000 0.000 0.500 Pt
0.000 0.500 0.867 Pt
0.500 0.000 0.133 Pt
0.500 0.500 0.500 Pt
```


Below is AcGaCuPt3 after structural relaxation, with properties calculated at the GGA-PBE level.

Results
The value obtained for the spin magnetization is 0.00 μB per cell. The formation enthalpy at 0 K comes out at -592 meV/atom. The space group is Cmcm, No. 63. Its density of states at the Fermi level is 6.5 states/eV/cell.

```
AcGaCuPt3
1.0
3.422 -6.088 0.000
3.422 6.088 0.000
0.000 0.000 5.869
Ac Ga Cu Pt
2 2 2 6
Direct
0.222 0.778 0.750 Ac
0.778 0.222 0.250 Ac
0.122 0.878 0.250 Ga
0.878 0.122 0.750 Ga
0.470 0.530 0.750 Cu
0.530 0.470 0.250 Cu
0.209 0.209 0.000 Pt
0.209 0.209 0.500 Pt
0.321 0.679 0.250 Pt
0.679 0.321 0.750 Pt
0.791 0.791 0.000 Pt
0.791 0.791 0.500 Pt
```


Below is AcGaCu2Pt4 after structural relaxation, with properties calculated at the GGA-PBE level.

Results
The value obtained for the spin magnetization is 0.00 μB per cell. The formation enthalpy at 0 K comes out at -561 meV/atom. The space group is R-3m, No. 166. Its density of states at the Fermi level is 2.1 states/eV/cell.

```
AcGaCu2Pt4
1.0
2.161 1.248 8.888
-2.161 1.248 8.888
0.000 -2.495 8.888
Ac Ga Cu Pt
1 1 2 4
Direct
0.000 0.000 0.000 Ac
0.500 0.500 0.500 Ga
0.240 0.240 0.240 Cu
0.760 0.760 0.760 Cu
0.133 0.133 0.133 Pt
0.406 0.406 0.406 Pt
0.594 0.594 0.594 Pt
0.867 0.867 0.867 Pt
```


Below is AcGa2CuPt5 after structural relaxation, with properties calculated at the GGA-PBE level.

Results
The value obtained for the spin magnetization is 0.00 μB per cell. The formation enthalpy at 0 K comes out at -486 meV/atom. The space group is P4/mmm, No. 123. Its density of states at the Fermi level is 1.7 states/eV/cell.

```
AcGa2CuPt5
1.0
4.157 0.000 0.000
0.000 4.157 0.000
0.000 0.000 10.678
Ac Ga Cu Pt
1 2 1 5
Direct
0.000 0.000 0.000 Ac
0.500 0.500 0.231 Ga
0.500 0.500 0.769 Ga
0.000 0.000 0.500 Cu
0.000 0.500 0.360 Pt
0.000 0.500 0.640 Pt
0.500 0.000 0.360 Pt
0.500 0.000 0.640 Pt
0.500 0.500 0.000 Pt
```


Below is AcGa4CuPt2 after structural relaxation, with properties calculated at the GGA-PBE level.

Results
The value obtained for the spin magnetization is 0.00 μB per cell. The formation enthalpy at 0 K comes out at -585 meV/atom. The space group is R-3m, No. 166. Its density of states at the Fermi level is 2.7 states/eV/cell.

```
AcGa4CuPt2
1.0
2.169 1.252 9.200
-2.169 1.252 9.200
0.000 -2.504 9.200
Ac Ga Cu Pt
1 4 1 2
Direct
0.000 0.000 0.000 Ac
0.133 0.133 0.133 Ga
0.406 0.406 0.406 Ga
0.594 0.594 0.594 Ga
0.867 0.867 0.867 Ga
0.500 0.500 0.500 Cu
0.233 0.233 0.233 Pt
0.767 0.767 0.767 Pt
```


Below is Ac2GaCuPt6 after structural relaxation, with properties calculated at the GGA-PBE level.

Results
The value obtained for the spin magnetization is 0.00 μB per cell. The formation enthalpy at 0 K comes out at -815 meV/atom. The space group is C2/m, No. 12. Its density of states at the Fermi level is 4.2 states/eV/cell.

```
Ac2GaCuPt6
1.0
6.168 -2.770 0.000
6.168 2.770 0.000
-5.854 0.000 6.223
Ac Ga Cu Pt
2 1 1 6
Direct
0.242 0.242 0.203 Ac
0.758 0.758 0.797 Ac
0.000 0.000 0.500 Ga
0.500 0.500 0.000 Cu
0.251 0.251 0.601 Pt
0.251 0.744 0.743 Pt
0.256 0.749 0.257 Pt
0.744 0.251 0.743 Pt
0.749 0.256 0.257 Pt
0.749 0.749 0.399 Pt
```


Below is AcGa4Cu2Pt after structural relaxation, with properties calculated at the GGA-PBE level.

Results
The value obtained for the spin magnetization is 0.00 μB per cell. The formation enthalpy at 0 K comes out at -392 meV/atom. The space group is R-3m, No. 166. Its density of states at the Fermi level is 2.5 states/eV/cell.

```
AcGa4Cu2Pt
1.0
2.130 1.230 9.522
-2.130 1.230 9.522
0.000 -2.460 9.522
Ac Ga Cu Pt
1 4 2 1
Direct
0.000 0.000 0.000 Ac
0.130 0.130 0.130 Ga
0.407 0.407 0.407 Ga
0.593 0.593 0.593 Ga
0.870 0.870 0.870 Ga
0.240 0.240 0.240 Cu
0.760 0.760 0.760 Cu
0.500 0.500 0.500 Pt
```


Below is AcGa2CuPt4 after structural relaxation, with properties calculated at the GGA-PBE level.

Results
The value obtained for the spin magnetization is 0.00 μB per cell. The formation enthalpy at 0 K comes out at -715 meV/atom. The space group is R-3m, No. 166. Its density of states at the Fermi level is 5.0 states/eV/cell.

```
AcGa2CuPt4
1.0
2.159 1.247 9.109
-2.159 1.247 9.109
0.000 -2.493 9.109
Ac Ga Cu Pt
1 2 1 4
Direct
0.000 0.000 0.000 Ac
0.234 0.234 0.234 Ga
0.766 0.766 0.766 Ga
0.500 0.500 0.500 Cu
0.134 0.134 0.134 Pt
0.407 0.407 0.407 Pt
0.593 0.593 0.593 Pt
0.866 0.866 0.866 Pt
```


Below is AcPuGaCu after structural relaxation, with properties calculated at the GGA-PBE level.

Results
The value obtained for the spin magnetization is 5.86 μB per cell. The formation enthalpy at 0 K comes out at -100 meV/atom. The space group is F-43m, No. 216. Its density of states at the Fermi level is 11.6 states/eV/cell.

```
AcPuGaCu
1.0
0.000 3.718 3.718
3.718 0.000 3.718
3.718 3.718 0.000
Ac Pu Ga Cu
1 1 1 1
Direct
0.000 0.000 0.000 Ac
0.500 0.500 0.500 Pu
0.750 0.750 0.750 Ga
0.250 0.250 0.250 Cu
```


Below is Ac2Ga3Cu12Rh after structural relaxation, with properties calculated at the GGA-PBE level.

Results
The value obtained for the spin magnetization is 0.00 μB per cell. The formation enthalpy at 0 K comes out at 157 meV/atom. The space group is R-3m, No. 166. Its density of states at the Fermi level is 10.3 states/eV/cell.

```
Ac2Ga3Cu12Rh
1.0
4.661 2.691 4.053
-4.661 2.691 4.053
0.000 -5.383 4.053
Ac Ga Cu Rh
2 3 12 1
Direct
0.205 0.205 0.205 Ac
0.795 0.795 0.795 Ac
0.000 0.500 0.500 Ga
0.500 0.000 0.500 Ga
0.500 0.500 0.000 Ga
0.082 0.082 0.643 Cu
0.082 0.643 0.082 Cu
0.231 0.694 0.694 Cu
0.306 0.306 0.769 Cu
0.306 0.769 0.306 Cu
0.357 0.918 0.918 Cu
0.643 0.082 0.082 Cu
0.694 0.231 0.694 Cu
0.694 0.694 0.231 Cu
0.769 0.306 0.306 Cu
0.918 0.357 0.918 Cu
0.918 0.918 0.357 Cu
0.500 0.500 0.500 Rh
```


Below is Ac2Ga2CuRh after structural relaxation, with properties calculated at the GGA-PBE level.

Results
The value obtained for the spin magnetization is 0.00 μB per cell. The formation enthalpy at 0 K comes out at -542 meV/atom. The space group is Ibam, No. 72. Its density of states at the Fermi level is 7.5 states/eV/cell.

```
Ac2Ga2CuRh
1.0
-3.144 7.416 3.133
3.144 -7.416 3.133
3.144 7.416 -3.133
Ac Ga Cu Rh
4 4 2 2
Direct
0.156 0.244 0.400 Ac
0.344 0.744 0.088 Ac
0.656 0.256 0.912 Ac
0.844 0.756 0.600 Ac
0.088 0.742 0.829 Ga
0.412 0.242 0.654 Ga
0.588 0.758 0.346 Ga
0.912 0.258 0.171 Ga
0.250 0.750 0.500 Cu
0.750 0.250 0.500 Cu
0.250 0.250 0.000 Rh
0.750 0.750 0.000 Rh
```


Below is AcGa4Cu2Rh after structural relaxation, with properties calculated at the GGA-PBE level.

Results
The value obtained for the spin magnetization is 0.00 μB per cell. The formation enthalpy at 0 K comes out at -387 meV/atom. The space group is R-3m, No. 166. Its density of states at the Fermi level is 3.8 states/eV/cell.

```
AcGa4Cu2Rh
1.0
2.122 1.225 9.405
-2.122 1.225 9.405
0.000 -2.451 9.405
Ac Ga Cu Rh
1 4 2 1
Direct
0.000 0.000 0.000 Ac
0.132 0.132 0.132 Ga
0.408 0.408 0.408 Ga
0.592 0.592 0.592 Ga
0.868 0.868 0.868 Ga
0.232 0.232 0.232 Cu
0.768 0.768 0.768 Cu
0.500 0.500 0.500 Rh
```


Below is Ac2Ga6CuRh after structural relaxation, with properties calculated at the GGA-PBE level.

Results
The value obtained for the spin magnetization is 0.00 μB per cell. The formation enthalpy at 0 K comes out at -455 meV/atom. The space group is P-1, No. 2. Its density of states at the Fermi level is 5.0 states/eV/cell.

```
Ac2Ga6CuRh
1.0
5.511 0.000 0.000
2.748 6.284 0.000
2.747 -0.302 6.319
Ac Ga Cu Rh
2 6 1 1
Direct
0.046 0.207 0.202 Ac
0.954 0.793 0.798 Ac
0.002 0.268 0.734 Ga
0.358 0.394 0.394 Ga
0.496 0.266 0.735 Ga
0.504 0.734 0.265 Ga
0.642 0.606 0.606 Ga
0.998 0.732 0.266 Ga
0.500 0.000 0.500 Cu
0.500 0.500 0.000 Rh
```


Below is AcGaCu2Rh after structural relaxation, with properties calculated at the GGA-PBE level.

Results
The value obtained for the spin magnetization is 0.00 μB per cell. The formation enthalpy at 0 K comes out at -387 meV/atom. The space group is Imm2, No. 44. Its density of states at the Fermi level is 2.8 states/eV/cell.

```
AcGaCu2Rh
1.0
-2.029 2.135 5.548
2.029 -2.135 5.548
2.029 2.135 -5.548
Ac Ga Cu Rh
1 1 2 1
Direct
0.000 0.000 0.000 Ac
0.254 0.754 0.500 Ga
0.627 0.627 0.000 Cu
0.756 0.256 0.500 Cu
0.393 0.393 0.000 Rh
```


Below is Ac2Ga4CuRh3 after structural relaxation, with properties calculated at the GGA-PBE level.

Results
The value obtained for the spin magnetization is 0.00 μB per cell. The formation enthalpy at 0 K comes out at -670 meV/atom. The space group is P-4m2, No. 115. Its density of states at the Fermi level is 6.5 states/eV/cell.

```
Ac2Ga4CuRh3
1.0
4.413 0.000 0.000
0.000 4.413 0.000
0.000 0.000 10.305
Ac Ga Cu Rh
2 4 1 3
Direct
0.000 0.500 0.245 Ac
0.500 0.000 0.755 Ac
0.000 0.000 0.500 Ga
0.000 0.500 0.878 Ga
0.500 0.000 0.122 Ga
0.500 0.500 0.500 Ga
0.500 0.500 0.000 Cu
0.000 0.000 0.000 Rh
0.000 0.500 0.627 Rh
0.500 0.000 0.373 Rh
```


Below is Ac2Ga3Cu4Rh after structural relaxation, with properties calculated at the GGA-PBE level.

Results
The value obtained for the spin magnetization is 0.00 μB per cell. The formation enthalpy at 0 K comes out at -358 meV/atom. The space group is P-4m2, No. 115. Its density of states at the Fermi level is 4.2 states/eV/cell.

```
Ac2Ga3Cu4Rh
1.0
4.295 0.000 0.000
0.000 4.295 0.000
0.000 0.000 10.561
Ac Ga Cu Rh
2 3 4 1
Direct
0.000 0.500 0.244 Ac
0.500 0.000 0.756 Ac
0.000 0.000 0.000 Ga
0.000 0.500 0.621 Ga
0.500 0.000 0.379 Ga
0.000 0.000 0.500 Cu
0.000 0.500 0.864 Cu
0.500 0.000 0.136 Cu
0.500 0.500 0.500 Cu
0.500 0.500 0.000 Rh
```


Below is Ac2Ga4Cu3Ru after structural relaxation, with properties calculated at the GGA-PBE level.

Results
The value obtained for the spin magnetization is 0.00 μB per cell. The formation enthalpy at 0 K comes out at -396 meV/atom. The space group is P-4m2, No. 115. Its density of states at the Fermi level is 4.1 states/eV/cell.

```
Ac2Ga4Cu3Ru
1.0
4.330 0.000 0.000
0.000 4.330 0.000
0.000 0.000 10.552
Ac Ga Cu Ru
2 4 3 1
Direct
0.000 0.500 0.246 Ac
0.500 0.000 0.754 Ac
0.000 0.000 0.500 Ga
0.000 0.500 0.877 Ga
0.500 0.000 0.123 Ga
0.500 0.500 0.500 Ga
0.000 0.000 0.000 Cu
0.000 0.500 0.630 Cu
0.500 0.000 0.370 Cu
0.500 0.500 0.000 Ru
```


Below is AcGaCu2S4 after structural relaxation, with properties calculated at the GGA-PBE level.

Results
The value obtained for the spin magnetization is 0.00 μB per cell. As for the raw formation energy: -750 kJ/mol of formula units. The space group is I222, No. 23.

```
AcGaCu2S4
1.0
-3.185 3.460 3.845
3.185 -3.460 3.845
3.185 3.460 -3.845
Ac Ga Cu S
1 1 2 4
Direct
0.000 0.000 0.000 Ac
0.500 0.500 0.000 Ga
0.323 0.823 0.500 Cu
0.677 0.177 0.500 Cu
0.141 0.112 0.600 S
0.488 0.888 0.029 S
0.512 0.541 0.400 S
0.859 0.459 0.971 S
```